# LaIrCl2

LaIrCl2 after structural relaxation (GGA-PBE, Alexandria via LeMat-Bulk).

Unit cell a=9.595 b=9.595 c=9.595 alpha=152.88 beta=152.88 gamma=38.73
Element x y z (fractional)
La1 0.000 0.000 0.000
La2 0.750 0.250 0.500
Ir1 0.250 0.750 0.500
Ir2 0.500 0.500 0.000
Cl1 0.157 0.625 0.032
Cl2 0.375 0.407 0.532
Cl3 0.593 0.125 0.968
Cl4 0.875 0.843 0.468

Polymorph energy (0 for the lowest one): 265 meV per atom
E_form (uncorrected): -0.72 eV/atom
DFT total energy: -5.091 eV per atom
Volume: 22.90 A^3/atom
DOS(E_F): 0.54 states/eV/f.u.

=====

# PmYZnPt

PmYZnPt after structural relaxation (GGA-PBE, Alexandria via LeMat-Bulk).

Unit cell a=4.492 b=5.768 c=5.768 alpha=39.50 beta=90.00 gamma=90.00
Element x y z (fractional)
Pm1 0.000 0.000 0.000
Y1 0.500 0.719 0.719
Zn1 0.500 0.432 0.432
Pt1 0.000 0.284 0.284

Energy of formation from the pure elements: -0.7763 eV per atom
Polymorph energy (0 for the lowest one): 0 meV per atom
DFT total energy: -5.409 eV per atom
Volume: 23.77 A^3/atom
DOS(E_F): 3.13 states/eV/f.u.